Computed, not measured: CaTa2Tl after structural relaxation at the GGA-PBE level of DFT.

V   21.31 A^3/atom
DOS at the Fermi energy   23.23 states/eV/cell
Energy above the most stable polymorph in this dataset   781.6 meV/atom
Total magnetization   0.000 μB/cell
Formation energy   1050 meV/atom

abc: 6.9866 6.9866 6.9866
angles: 90.00 90.00 90.00
Last column: nearest neighbours and their distance in Å.
Space group Fm-3m (No. 225)
Inequivalent atoms, fractional coordinates:
Ca 0.0000 0.0000 0.0000 (multiplicity 4)  8 Ta 3.03
Ta 0.2500 0.2500 0.2500 (multiplicity 8)  4 Tl 3.03, 4 Ca 3.03
Tl 0.0000 0.0000 0.5000 (multiplicity 4)  8 Ta 3.03

=====

Computed, not measured: AsSeCl after structural relaxation at the GGA-PBE level of DFT.

V   28.69 A^3/atom
Formation energy (no corrections)   -0.370 eV per atom
Total magnetization   0.000 μB/cell

abc: 3.7667 6.5884 7.4552
angles: 105.52 104.47 90.01
Last column: nearest neighbours and their distance in Å.
Space group P-1 (No. 2)
Inequivalent atoms, fractional coordinates:
As 0.2495 0.2304 0.9997 (multiplicity 2)  3 Se 2.54-2.61, 2 Cl 2.73-2.74
Se 0.1420 0.8545 0.7824 (multiplicity 2)  3 As 2.54-2.61
Cl 0.3649 0.6657 0.2336 (multiplicity 2)  3 As 2.73-2.90

=====

Computed, not measured: PaMnNiN3 after structural relaxation at the GGA-PBE level of DFT.

V   11.49 A^3/atom
DOS at the Fermi energy   9.84 states/eV/cell
Formation energy (no corrections)   -0.607 eV per atom
Total magnetization   4.360 μB/cell

abc: 6.1462 3.1147 7.3251
angles: 90.00 100.56 90.00
Last column: nearest neighbours and their distance in Å.
Space group P2_1/m (No. 11)
Inequivalent atoms, fractional coordinates:
Pa 0.1845 0.2500 0.2179 (multiplicity 2)  7 N 2.32-2.48
Mn 0.3418 0.7500 0.8793 (multiplicity 2)  5 N 1.97-2.06
Ni 0.1537 0.2500 0.6097 (multiplicity 2)  4 N 1.97-2.08
N 0.1290 0.2500 0.8771 (multiplicity 2)  1 Ni 1.99, 2 Mn 2.03
N 0.1907 0.7500 0.4528 (multiplicity 2)  3 Ni 1.97-2.08
N 0.4488 0.7500 0.1495 (multiplicity 2)  3 Mn 1.97-2.06

=====

Computed, not measured: MnSbTeI2 after structural relaxation at the GGA-PBE level of DFT.

V   43.18 A^3/atom
DOS at the Fermi energy   4.53 states/eV/cell
Energy above the most stable polymorph in this dataset   496.7 meV/atom
Formation energy (no corrections)   0.800 eV per atom
Total magnetization   5.149 μB/cell

abc: 6.0462 6.0462 5.9054
angles: 90.00 90.00 90.00
Last column: nearest neighbours and their distance in Å.
Space group P4/mmm (No. 123)
Inequivalent atoms, fractional coordinates:
Mn 0.0000 0.0000 0.0000 (multiplicity 1)  8 I 4.23, 4 Sb 4.28
Sb 0.5000 0.5000 0.0000 (multiplicity 1)  2 Te 2.95
Te 0.5000 0.5000 0.5000 (multiplicity 1)  2 Sb 2.95, 4 I 3.02
I 0.0000 0.5000 0.5000 (multiplicity 2)  2 Te 3.02

=====

Computed, not measured: ReHg2Sb after structural relaxation at the GGA-PBE level of DFT.

V   21.66 A^3/atom
DOS at the Fermi energy   3.28 states/eV/cell
Formation energy (no corrections)   0.852 eV per atom
Total magnetization   1.103 μB/cell

abc: 3.0199 3.0199 9.4995
angles: 90.00 90.00 90.00
Last column: nearest neighbours and their distance in Å.
Space group P4/mmm (No. 123)
Inequivalent atoms, fractional coordinates:
Re 0.0000 0.0000 0.0000 (multiplicity 1)  8 Hg 2.94, 4 Re 3.02
Hg 0.5000 0.5000 0.2128 (multiplicity 2)  4 Re 2.94, 4 Hg 3.02
Sb 0.0000 0.0000 0.5000 (multiplicity 1)  4 Sb 3.02

=====

Computed, not measured: LiHS after structural relaxation at the GGA-PBE level of DFT.

V   16.06 A^3/atom
DOS at the Fermi energy   0.00 states/eV/cell
Energy above the most stable polymorph in this dataset   0.0 meV/atom
Total magnetization   0.000 μB/cell

abc: 7.8915 7.8915 6.1881
angles: 90.00 90.00 90.00
Last column: nearest neighbours and their distance in Å.
Space group P4_2/mbc (No. 135)
Inequivalent atoms, fractional coordinates:
Li 0.0000 0.0000 0.2500 (multiplicity 4)  4 S 2.51
Li 0.0000 0.5000 0.2500 (multiplicity 4)  4 S 2.51
H 0.1867 0.2512 0.0000 (multiplicity 8)  1 S 1.35
S 0.0155 0.2498 0.0000 (multiplicity 8)  1 H 1.35

=====

Which of these has the highest V? MnSbTeI2

=====

The lowest V belongs to which entry? PaMnNiN3

=====

Among the records above, which one has the highest total magnetization? MnSbTeI2

=====

What did the third record say?
Computed, not measured: PaMnNiN3 after structural relaxation at the GGA-PBE level of DFT.

V   11.49 A^3/atom
DOS at the Fermi energy   9.84 states/eV/cell
Formation energy (no corrections)   -0.607 eV per atom
Total magnetization   4.360 μB/cell

abc: 6.1462 3.1147 7.3251
angles: 90.00 100.56 90.00
Last column: nearest neighbours and their distance in Å.
Space group P2_1/m (No. 11)
Inequivalent atoms, fractional coordinates:
Pa 0.1845 0.2500 0.2179 (multiplicity 2)  7 N 2.32-2.48
Mn 0.3418 0.7500 0.8793 (multiplicity 2)  5 N 1.97-2.06
Ni 0.1537 0.2500 0.6097 (multiplicity 2)  4 N 1.97-2.08
N 0.1290 0.2500 0.8771 (multiplicity 2)  1 Ni 1.99, 2 Mn 2.03
N 0.1907 0.7500 0.4528 (multiplicity 2)  3 Ni 1.97-2.08
N 0.4488 0.7500 0.1495 (multiplicity 2)  3 Mn 1.97-2.06